[1]
Computed, not measured: a geometry-optimized Sr3Te2Se structure at the PBE level of DFT.

Summary:
The calculation puts the total energy at -4.31 eV per atom. Its space group is No. 71. As for the raw formation energy: -1838 meV/atom. The calculation puts the calculated volume at 214.0 Å³ per cell.

a = 8.073 Å, b = 8.073 Å, c = 8.073 Å
α = 146.62°, β = 131.74°, γ = 59.94°
Fractional coordinates of all 6 atoms:
Sr 0.000 0.000 0.000
Sr 0.344 0.344 0.000
Sr 0.656 0.656 0.000
Te 0.169 0.669 0.500
Te 0.831 0.331 0.500
Se 0.500 0.000 0.500



[2]
Computed, not measured: a geometry-optimized AlAg3Pd structure at the PBE level of DFT.

Summary:
The calculation puts the total energy at -2.90 eV per atom. For the excess energy over the best structure of this formula in the dataset, the calculation gives 0.00 eV/f.u. Its space group is No. 221. For the energy of formation, the calculation gives 602 meV per atom. The calculation puts the calculated volume at 106.6 Å³ per cell.

a = 4.742 Å, b = 4.742 Å, c = 4.742 Å
α = 90.00°, β = 90.00°, γ = 90.00°
Fractional coordinates of all 5 atoms:
Al 0.000 0.000 0.000
Ag 0.000 0.000 0.500
Ag 0.000 0.500 0.000
Ag 0.500 0.000 0.000
Pd 0.500 0.500 0.500



[3]
Computed, not measured: a geometry-optimized NbSiAgO2 structure at the PBE level of DFT.

Summary:
The calculation puts the total energy at -5.01 eV per atom. Its space group is No. 123. As for the raw formation energy: 643 meV/atom. The calculation puts the calculated volume at 77.4 Å³ per cell.

a = 3.974 Å, b = 3.974 Å, c = 4.899 Å
α = 90.00°, β = 90.00°, γ = 90.00°
Fractional coordinates of all 5 atoms:
Nb 0.000 0.000 0.000
Si 0.500 0.500 0.000
Ag 0.500 0.500 0.500
O 0.000 0.500 0.500
O 0.500 0.000 0.500



[4]
Computed, not measured: a geometry-optimized K2MgSe2 structure at the PBE level of DFT.

Summary:
The calculation puts the total energy at -3.05 eV per atom. Its space group is No. 127. As for the raw formation energy: -901 meV/atom. The calculation puts the calculated volume at 292.6 Å³ per cell.

a = 7.738 Å, b = 7.738 Å, c = 4.886 Å
α = 90.00°, β = 90.00°, γ = 90.00°
Fractional coordinates of all 10 atoms:
K 0.136 0.364 0.000
K 0.364 0.864 0.000
K 0.636 0.136 0.000
K 0.864 0.636 0.000
Mg 0.000 0.000 0.500
Mg 0.500 0.500 0.500
Se 0.182 0.682 0.500
Se 0.318 0.182 0.500
Se 0.682 0.818 0.500
Se 0.818 0.318 0.500



[5]
Computed, not measured: a geometry-optimized Ac7In3Co2 structure at the PBE level of DFT.

Summary:
The calculation puts the total energy at -4.46 eV per atom. Its space group is No. 65. For the energy of formation, the calculation gives -196 meV per atom. The calculation puts the calculated volume at 411.4 Å³ per cell.

a = 13.891 Å, b = 13.891 Å, c = 5.490 Å
α = 90.00°, β = 90.00°, γ = 157.15°
Fractional coordinates of all 12 atoms:
Ac 0.000 0.000 0.000
Ac 0.099 0.901 0.500
Ac 0.206 0.794 0.000
Ac 0.398 0.602 0.000
Ac 0.602 0.398 0.000
Ac 0.794 0.206 0.000
Ac 0.901 0.099 0.500
In 0.295 0.705 0.500
In 0.500 0.500 0.500
In 0.705 0.295 0.500
Co 0.101 0.899 0.000
Co 0.899 0.101 0.000



[6]
Computed, not measured: a geometry-optimized BeHgOs2 structure at the PBE level of DFT.

Summary:
The calculation puts the total energy at -5.68 eV per atom. For the excess energy over the best structure of this formula in the dataset, the calculation gives 2.68 eV/f.u. Its space group is No. 65. For the energy of formation, the calculation gives 941 meV per atom. The calculation puts the calculated volume at 60.7 Å³ per cell.

a = 4.823 Å, b = 4.823 Å, c = 2.904 Å
α = 90.00°, β = 90.00°, γ = 116.06°
Fractional coordinates of all 4 atoms:
Be 0.000 0.000 0.000
Hg 0.500 0.500 0.000
Os 0.000 0.500 0.500
Os 0.500 0.000 0.500